The following is a GGA-PBE calculation of CsMgIn after structural relaxation, from Alexandria via LeMat-Bulk.

Unit cell a=3.7870 b=5.8382 c=5.8382 alpha=120.00 beta=90.00 gamma=90.00
Positions (direct):
1 Mg 0.1666 0.6667 0.3333
2 In 0.1665 0.0000 0.0000
3 Cs 0.6669 0.3333 0.6667

Energy of formation: 154 meV/atom
VASP energy: -1.57 eV/atom
Size of the total moment: 0.00 μB per cell
N(E_F): 2.7 states/eV/cell
Space-group type: P-6m2, No. 187

=====

The following is a GGA-PBE calculation of Y3TlO after structural relaxation, from Alexandria via LeMat-Bulk.

Unit cell a=5.4156 b=7.0433 c=7.0434 alpha=104.43 beta=90.00 gamma=90.00
Positions (direct):
1 Y 0.4266 0.4485 0.0963
2 Y 0.4266 0.9616 0.1844
3 Y 0.4266 0.3757 0.5895
4 O 0.1766 0.4036 0.8383
5 Y 0.9266 0.6616 0.8829
6 Tl 0.9266 0.2227 0.2956
7 Y 0.9266 0.7501 0.3961
8 Y 0.9266 0.1549 0.8105
9 O 0.6766 0.4036 0.8383
10 Tl 0.4266 0.8609 0.6571

VASP energy: -6.69 eV/atom
Size of the total moment: 0.00 μB per cell
N(E_F): 3.8 states/eV/cell
Space-group type: Ama2, No. 40

=====

The following is a GGA-PBE calculation of Ce2Ag2Sn3 after structural relaxation, from Alexandria via LeMat-Bulk.

Unit cell a=4.7540 b=7.4532 c=10.4466 alpha=90.00 beta=103.15 gamma=90.00
Positions (direct):
1 Ag 0.6973 0.5505 0.3947
2 Ce 0.1565 0.2500 0.3130
3 Ce 0.0455 0.7500 0.0911
4 Ag 0.3027 0.0505 0.6053
5 Sn 0.2150 0.7500 0.4300
6 Ag 0.6973 0.9495 0.3947
7 Sn 0.4330 0.5556 0.8660
8 Sn 0.5670 0.4444 0.1340
9 Sn 0.5670 0.0556 0.1340
10 Ce 0.8435 0.7500 0.6870
11 Sn 0.7850 0.2500 0.5700
12 Ce 0.9545 0.2500 0.9089
13 Ag 0.3027 0.4495 0.6053
14 Sn 0.4330 0.9444 0.8660

Energy of formation: -433 meV/atom
VASP energy: -4.66 eV/atom
Size of the total moment: 4.05 μB per cell
N(E_F): 30.8 states/eV/cell
Space-group type: Cmcm, No. 63

=====

The following is a GGA-PBE calculation of PrZn2PdAu2 after structural relaxation, from Alexandria via LeMat-Bulk.

Unit cell a=4.8191 b=4.8191 c=5.5399 alpha=90.00 beta=90.00 gamma=90.00
Positions (direct):
1 Zn 0.5000 0.0000 0.0000
2 Zn 0.0000 0.5000 0.0000
3 Pr 0.0000 0.0000 0.5000
4 Au 0.5000 0.5000 0.7425
5 Au 0.5000 0.5000 0.2575
6 Pd 0.0000 0.0000 0.0000

Energy of formation: -340 meV/atom
VASP energy: -3.52 eV/atom
Size of the total moment: 0.00 μB per cell
N(E_F): 2.5 states/eV/cell
Space-group type: P4/mmm, No. 123